No. 1
VASP calculation (PBE) on LiReP2O after structural relaxation.

The magnetization comes out at 0.0 μB per formula unit. For the formation energy from raw total energies, the calculation gives -0.275 eV per atom. The uncorrected energy comes out at -6.303 eV per atom.

The structure in CIF format:
```
data_LiReP2O
_chemical_formula_sum 'Li1 Re1 P2 O1'
_cell_length_a 4.773
_cell_length_b 4.773
_cell_length_c 3.749
_cell_angle_alpha 90.00
_cell_angle_beta 90.00
_cell_angle_gamma 90.00
_symmetry_space_group_name_H-M 'P 4/m m m'
_symmetry_Int_Tables_number 123
_symmetry_space_group_name_Hall '-P 4 2'
loop_
_atom_site_label
_atom_site_type_symbol
_atom_site_fract_x
_atom_site_fract_y
_atom_site_fract_z
_atom_site_occupancy
Li1 Li 0.000 0.000 0.000 1
Re1 Re 0.500 0.500 0.500 1
P1 P 0.000 0.500 0.500 1
O1 O 0.500 0.500 0.000 1
```

---

No. 2
VASP calculation (PBE) on LiReP2O after structural relaxation.

The magnetization comes out at 0.0 μB per formula unit. For the formation energy from raw total energies, the calculation gives 0.707 eV per atom. The uncorrected energy comes out at -5.321 eV per atom.

The structure in CIF format:
```
data_LiReP2O
_chemical_formula_sum 'Li1 Re1 P2 O1'
_cell_length_a 4.487
_cell_length_b 4.487
_cell_length_c 3.117
_cell_angle_alpha 90.00
_cell_angle_beta 90.00
_cell_angle_gamma 90.00
_symmetry_space_group_name_H-M 'P 4/m m m'
_symmetry_Int_Tables_number 123
_symmetry_space_group_name_Hall '-P 4 2'
loop_
_atom_site_label
_atom_site_type_symbol
_atom_site_fract_x
_atom_site_fract_y
_atom_site_fract_z
_atom_site_occupancy
Li1 Li 0.000 0.000 0.000 1
Re1 Re 0.500 0.500 0.500 1
P1 P 0.000 0.500 0.000 1
O1 O 0.000 0.000 0.500 1
```

---

No. 3
VASP calculation (PBE) on LiPRhO4 after structural relaxation.

The magnetization comes out at 1.2 μB per formula unit. For the formation energy from raw total energies, the calculation gives -1.572 eV per atom. The uncorrected energy comes out at -6.501 eV per atom.

The structure in CIF format:
```
data_LiPRhO4
_chemical_formula_sum 'Li4 P4 Rh4 O16'
_cell_length_a 5.750
_cell_length_b 6.032
_cell_length_c 8.110
_cell_angle_alpha 90.00
_cell_angle_beta 90.00
_cell_angle_gamma 90.00
_symmetry_space_group_name_H-M 'I m m a'
_symmetry_Int_Tables_number 74
_symmetry_space_group_name_Hall '-I 2b 2'
loop_
_atom_site_label
_atom_site_type_symbol
_atom_site_fract_x
_atom_site_fract_y
_atom_site_fract_z
_atom_site_occupancy
Li1 Li 0.000 0.000 0.000 1
P1 P 0.000 0.250 0.385 1
Rh1 Rh 0.250 0.250 0.750 1
O1 O 0.000 0.042 0.269 1
O2 O 0.226 0.250 0.492 1
```

---

No. 4
VASP calculation (PBE) on LiP4Ru2O14 after structural relaxation.

The magnetization comes out at 3.0 μB per formula unit. For the formation energy from raw total energies, the calculation gives -1.792 eV per atom. The uncorrected energy comes out at -7.103 eV per atom.

The structure in CIF format:
```
data_LiP4Ru2O14
_chemical_formula_sum 'Li1 P4 Ru2 O14'
_cell_length_a 4.869
_cell_length_b 6.888
_cell_length_c 8.205
_cell_angle_alpha 91.73
_cell_angle_beta 92.49
_cell_angle_gamma 106.71
_symmetry_space_group_name_H-M 'P -1'
_symmetry_Int_Tables_number 2
loop_
_symmetry_equiv_pos_as_xyz
'x,y,z'
'-x,-y,-z'
loop_
_atom_site_label
_atom_site_type_symbol
_atom_site_fract_x
_atom_site_fract_y
_atom_site_fract_z
_atom_site_occupancy
Li1 Li 0.000 0.000 0.000 1
P1 P 0.021 0.644 0.765 1
P2 P 0.386 0.757 0.307 1
Ru1 Ru 0.000 0.000 0.500 1
Ru2 Ru 0.500 0.500 0.000 1
O1 O 0.136 0.825 0.661 1
O2 O 0.138 0.298 0.088 1
O3 O 0.186 0.895 0.313 1
O4 O 0.204 0.529 0.346 1
O5 O 0.266 0.558 0.816 1
O6 O 0.375 0.205 0.559 1
O7 O 0.481 0.756 0.130 1
```

---

No. 5
VASP calculation (PBE) on LiP2RuO8 after structural relaxation.

The magnetization comes out at 1.5 μB per formula unit. For the formation energy from raw total energies, the calculation gives -1.520 eV per atom. The uncorrected energy comes out at -6.660 eV per atom.

The structure in CIF format:
```
data_LiP2RuO8
_chemical_formula_sum 'Li2 P4 Ru2 O16'
_cell_length_a 6.489
_cell_length_b 6.489
_cell_length_c 5.772
_cell_angle_alpha 90.00
_cell_angle_beta 90.00
_cell_angle_gamma 90.00
_symmetry_space_group_name_H-M 'I -4 m 2'
_symmetry_Int_Tables_number 119
_symmetry_space_group_name_Hall 'I -4 -2'
loop_
_atom_site_label
_atom_site_type_symbol
_atom_site_fract_x
_atom_site_fract_y
_atom_site_fract_z
_atom_site_occupancy
Li1 Li 0.000 0.000 0.000 1
P1 P 0.000 0.000 0.500 1
P2 P 0.000 0.500 0.250 1
Ru1 Ru 0.000 0.500 0.750 1
O1 O 0.000 0.185 0.671 1
O2 O 0.000 0.320 0.073 1
```

---

No. 6
VASP calculation (PBE) on LiPS2O after structural relaxation.

The magnetization comes out at 0.0 μB per formula unit. For the formation energy from raw total energies, the calculation gives 0.316 eV per atom. The uncorrected energy comes out at -3.792 eV per atom.

The structure in CIF format:
```
data_LiPS2O
_chemical_formula_sum 'Li1 P1 S2 O1'
_cell_length_a 4.727
_cell_length_b 4.727
_cell_length_c 3.611
_cell_angle_alpha 90.00
_cell_angle_beta 90.00
_cell_angle_gamma 90.00
_symmetry_space_group_name_H-M 'P 4/m m m'
_symmetry_Int_Tables_number 123
_symmetry_space_group_name_Hall '-P 4 2'
loop_
_atom_site_label
_atom_site_type_symbol
_atom_site_fract_x
_atom_site_fract_y
_atom_site_fract_z
_atom_site_occupancy
Li1 Li 0.000 0.000 0.000 1
P1 P 0.500 0.500 0.000 1
S1 S 0.000 0.500 0.500 1
O1 O 0.500 0.500 0.500 1
```

---

No. 7
VASP calculation (PBE) on LiP2SO after structural relaxation.

The magnetization comes out at 0.0 μB per formula unit. For the formation energy from raw total energies, the calculation gives 0.328 eV per atom. The uncorrected energy comes out at -4.036 eV per atom.

The structure in CIF format:
```
data_LiP2SO
_chemical_formula_sum 'Li1 P2 S1 O1'
_cell_length_a 4.809
_cell_length_b 4.809
_cell_length_c 3.370
_cell_angle_alpha 90.00
_cell_angle_beta 90.00
_cell_angle_gamma 90.00
_symmetry_space_group_name_H-M 'P 4/m m m'
_symmetry_Int_Tables_number 123
_symmetry_space_group_name_Hall '-P 4 2'
loop_
_atom_site_label
_atom_site_type_symbol
_atom_site_fract_x
_atom_site_fract_y
_atom_site_fract_z
_atom_site_occupancy
Li1 Li 0.000 0.000 0.000 1
P1 P 0.000 0.500 0.500 1
S1 S 0.500 0.500 0.500 1
O1 O 0.500 0.500 0.000 1
```

---

No. 8
VASP calculation (PBE) on LiP2SO after structural relaxation.

The magnetization comes out at 0.0 μB per formula unit. For the formation energy from raw total energies, the calculation gives 0.311 eV per atom. The uncorrected energy comes out at -4.053 eV per atom.

The structure in CIF format:
```
data_LiP2SO
_chemical_formula_sum 'Li1 P2 S1 O1'
_cell_length_a 3.859
_cell_length_b 3.859
_cell_length_c 5.541
_cell_angle_alpha 90.00
_cell_angle_beta 90.00
_cell_angle_gamma 90.00
_symmetry_space_group_name_H-M 'P 4/m m m'
_symmetry_Int_Tables_number 123
_symmetry_space_group_name_Hall '-P 4 2'
loop_
_atom_site_label
_atom_site_type_symbol
_atom_site_fract_x
_atom_site_fract_y
_atom_site_fract_z
_atom_site_occupancy
Li1 Li 0.000 0.000 0.000 1
P1 P 0.000 0.500 0.500 1
S1 S 0.500 0.500 0.000 1
O1 O 0.500 0.500 0.500 1
```

---

No. 9
VASP calculation (PBE) on LiP2SO after structural relaxation.

The magnetization comes out at 0.0 μB per formula unit. For the formation energy from raw total energies, the calculation gives 0.585 eV per atom. The uncorrected energy comes out at -3.779 eV per atom.

The structure in CIF format:
```
data_LiP2SO
_chemical_formula_sum 'Li1 P2 S1 O1'
_cell_length_a 4.514
_cell_length_b 4.514
_cell_length_c 3.333
_cell_angle_alpha 90.00
_cell_angle_beta 90.00
_cell_angle_gamma 90.00
_symmetry_space_group_name_H-M 'P 4/m m m'
_symmetry_Int_Tables_number 123
_symmetry_space_group_name_Hall '-P 4 2'
loop_
_atom_site_label
_atom_site_type_symbol
_atom_site_fract_x
_atom_site_fract_y
_atom_site_fract_z
_atom_site_occupancy
Li1 Li 0.000 0.000 0.000 1
P1 P 0.000 0.500 0.000 1
S1 S 0.500 0.500 0.500 1
O1 O 0.000 0.000 0.500 1
```

---

Question: Which value of formation energy from raw total energies does entry 2 give?
Answer: 0.707 eV per atom